EuSi3Ni | GGA-PBE | relaxed

Cell lengths 5.693, 5.693, 5.693 Å; angles 137.60, 137.60, 61.52 degrees
Fractional coordinates of all 5 atoms:
Eu1 0.000 0.000 0.000
Si1 0.624 0.624 0.000
Si2 0.376 0.376 0.000
Si3 0.750 0.250 0.500
Ni1 0.250 0.750 0.500


EuSi2Ni | GGA-PBE | relaxed

Cell lengths 3.916, 3.916, 5.865 Å; angles 70.50, 70.50, 60.00 degrees
Fractional coordinates of all 4 atoms:
Eu1 0.500 0.500 0.500
Ni1 0.000 0.000 0.000
Si1 0.707 0.707 0.878
Si2 0.293 0.293 0.122


EuSi2Ni9 | GGA-PBE | relaxed

Cell lengths 7.613, 7.613, 7.613 Å; angles 99.61, 99.61, 131.76 degrees
Fractional coordinates of all 24 atoms:
Eu1 0.500 0.500 0.000
Eu2 0.750 0.250 0.500
Si1 0.625 0.875 0.750
Si2 0.125 0.375 0.250
Si3 0.125 0.875 0.750
Si4 0.125 0.875 0.250
Ni1 0.250 0.750 0.500
Ni2 0.000 0.000 0.000
Ni3 0.688 0.016 0.079
Ni4 0.688 0.610 0.672
Ni5 0.266 0.438 0.579
Ni6 0.266 0.687 0.828
Ni7 0.937 0.016 0.328
Ni8 0.937 0.610 0.921
Ni9 0.860 0.438 0.172
Ni10 0.860 0.687 0.421
Ni11 0.562 0.734 0.421
Ni12 0.562 0.140 0.828
Ni13 0.984 0.312 0.921
Ni14 0.984 0.063 0.672
Ni15 0.313 0.734 0.172
Ni16 0.313 0.140 0.579
Ni17 0.390 0.312 0.328
Ni18 0.390 0.063 0.079


no.,volume (Å³ per cell),energy (eV per atom)
1,82.9,-6.903
2,71.9,-7.365
3,300.4,-6.493